[1]
SrMo2AsOs | PBE | optimized geometry

Geometry as extended XYZ:
```
5
Lattice="4.838 0.000 0.000 0.000 4.838 0.000 0.000 0.000 4.872" Properties=species:S:1:pos:R:3 pbc="T T T"
Sr 0.000 0.000 0.000
Mo 0.000 2.419 0.000
Mo 2.419 0.000 0.000
As 2.419 2.419 2.436
Os 0.000 0.000 2.436
```

DOS at the Fermi energy   6.48 states/eV/cell
Raw total energy   -23.14 eV/f.u.
E above lowest polymorph   195.4 kJ per mole of atoms
Calculated formation energy   16.1 eV/f.u.

***

[2]
TeMoAs2Os | PBE | optimized geometry

Geometry as extended XYZ:
```
5
Lattice="4.717 0.000 0.000 0.000 4.717 0.000 0.000 0.000 5.426" Properties=species:S:1:pos:R:3 pbc="T T T"
Te 0.000 0.000 0.000
Mo 0.000 0.000 2.713
As 0.000 2.358 2.713
As 2.358 0.000 2.713
Os 2.358 2.358 0.000
```

DOS at the Fermi energy   4.50 states/eV/cell
Raw total energy   -27.51 eV/f.u.
Energy relative to the elements, uncorrected   1397.9 meV/atom

***

[3]
Mo3AsP | PBE | optimized geometry

Geometry as extended XYZ:
```
5
Lattice="4.474 0.000 0.000 0.000 4.474 0.000 0.000 0.000 4.474" Properties=species:S:1:pos:R:3 pbc="T T T"
Mo 0.000 0.000 2.237
Mo 0.000 2.237 0.000
Mo 2.237 0.000 0.000
As 2.237 2.237 2.237
P 0.000 0.000 0.000
```

DOS at the Fermi energy   8.89 states/eV/cell
Raw total energy   -39.08 eV/f.u.
E above lowest polymorph   0.0 kJ per mole of atoms
Calculated formation energy   3.5 eV/f.u.

***

Copy entry 1 word for word.
SrMo2AsOs | PBE | optimized geometry

Geometry as extended XYZ:
```
5
Lattice="4.838 0.000 0.000 0.000 4.838 0.000 0.000 0.000 4.872" Properties=species:S:1:pos:R:3 pbc="T T T"
Sr 0.000 0.000 0.000
Mo 0.000 2.419 0.000
Mo 2.419 0.000 0.000
As 2.419 2.419 2.436
Os 0.000 0.000 2.436
```

DOS at the Fermi energy   6.48 states/eV/cell
Raw total energy   -23.14 eV/f.u.
E above lowest polymorph   195.4 kJ per mole of atoms
Calculated formation energy   16.1 eV/f.u.

***

Please write out number 2 again, unchanged.
TeMoAs2Os | PBE | optimized geometry

Geometry as extended XYZ:
```
5
Lattice="4.717 0.000 0.000 0.000 4.717 0.000 0.000 0.000 5.426" Properties=species:S:1:pos:R:3 pbc="T T T"
Te 0.000 0.000 0.000
Mo 0.000 0.000 2.713
As 0.000 2.358 2.713
As 2.358 0.000 2.713
Os 2.358 2.358 0.000
```

DOS at the Fermi energy   4.50 states/eV/cell
Raw total energy   -27.51 eV/f.u.
Energy relative to the elements, uncorrected   1397.9 meV/atom

***

Question: What is the DOS at the Fermi energy in the second record?
Answer: 4.50 states/eV/cell